i.
DFT (GGA-PBE) results for DyScC after structural relaxation.

```
DyScC
1.0
3.464 -0.005 0.000
0.011 5.836 -2.367
0.000 0.220 6.000
Sc Dy C
2 2 2
Cartesian
3.256 4.264 -0.053
1.517 0.817 1.237
1.524 4.231 2.962
3.249 1.069 4.223
1.526 5.490 0.845
3.258 5.427 -2.027
```

## Properties
* V: 123.1 Å³ per cell
* Fermi-level density of states: 4.4 states/eV/cell
* total moment: 0.344 μB per formula unit

=====

ii.
DFT (GGA-PBE) results for DyScC after structural relaxation.

```
DyScC
1.0
-1.015 0.749 3.211
3.206 -1.135 -0.575
1.867 5.639 -0.726
C Dy Sc
1 1 1
Cartesian
1.043 2.086 1.696
0.206 0.622 -0.080
2.809 2.545 0.294
```

## Properties
* V: 61.7 Å³ per cell
* Fermi-level density of states: 2.3 states/eV/cell
* total moment: 0.001 μB per formula unit

=====

iii.
DFT (GGA-PBE) results for DyScC after structural relaxation.

```
DyScC
1.0
-1.569 0.840 -2.850
-8.699 -0.197 4.731
0.689 6.505 1.538
Sc Dy C
4 4 4
Cartesian
-0.892 2.040 -0.889
-0.547 5.293 -0.120
-5.241 1.941 1.478
-4.896 5.194 2.247
-3.677 4.036 -0.744
-8.371 0.685 0.853
-6.461 3.099 4.467
-2.455 -0.055 1.332
0.064 3.247 0.920
-0.280 -0.006 0.151
-5.853 3.987 0.438
-6.197 0.735 -0.331
```

## Properties
* V: 223.6 Å³ per cell
* Fermi-level density of states: 5.1 states/eV/cell
* total moment: 0.000 μB per formula unit

=====

Which of them is the least stable? Correct choice: iii.

=====

i.
DFT (GGA-PBE) results for Dy3CSe after structural relaxation.

```
Dy3CSe
1.0
-2.094 0.079 6.120
-7.518 -2.384 -3.552
1.546 -8.502 -0.371
Dy Se C
12 4 4
Cartesian
-1.450 -8.178 -0.850
-0.119 -1.623 0.530
-3.205 -4.816 4.150
-4.061 -3.571 0.422
-4.861 -5.991 -1.952
-0.790 -5.894 1.664
-5.428 -10.218 -0.876
-7.276 -4.913 0.533
-6.616 -2.628 3.047
-7.946 -9.184 1.668
-2.638 -0.589 3.074
-4.005 -7.235 1.776
-3.727 -8.603 -2.588
-6.258 -7.561 -0.049
-1.807 -3.245 2.246
-4.339 -2.204 4.786
0.309 -8.001 0.909
-5.769 -3.898 -1.224
-2.297 -6.909 3.422
-8.375 -2.806 1.289
```

## Properties
* V: 474.5 Å³ per cell
* Fermi-level density of states: 8.8 states/eV/cell
* total moment: 0.000 μB per formula unit

=====

ii.
DFT (GGA-PBE) results for Dy3CSe after structural relaxation.

```
Dy3CSe
1.0
-3.026 2.102 0.512
-3.030 -8.195 2.231
1.951 1.141 6.842
Dy C Se
6 2 2
Cartesian
-1.627 -0.914 0.893
-1.119 -3.960 2.877
-3.310 -4.526 5.770
-2.477 -4.039 8.692
-0.794 -0.426 3.815
-2.985 -0.993 6.708
-2.991 -0.040 2.757
-1.112 -4.912 6.828
-2.875 -6.719 3.838
-1.229 1.767 5.747
```

## Properties
* V: 236.5 Å³ per cell
* Fermi-level density of states: 5.6 states/eV/cell
* total moment: 0.000 μB per formula unit

=====

Which of them is the least stable? Correct choice: ii.

=====

i.
DFT (GGA-PBE) results for Dy4CSe3 after structural relaxation.

```
Dy4CSe3
1.0
5.639 0.000 0.000
0.000 8.548 0.000
0.000 0.000 8.889
Dy Se C
8 6 2
Cartesian
0.382 2.687 6.894
3.202 5.861 2.450
3.202 5.861 6.439
3.302 1.559 0.000
0.382 2.687 1.994
0.359 7.818 0.000
0.483 6.989 4.444
3.178 0.730 4.444
0.397 5.593 6.901
3.200 7.363 0.000
3.216 2.955 2.457
0.397 5.593 1.988
3.216 2.955 6.432
0.381 1.185 4.444
0.123 1.581 0.000
2.943 6.967 4.444
```

## Properties
* V: 428.4 Å³ per cell
* Fermi-level density of states: 9.0 states/eV/cell
* total moment: 0.000 μB per formula unit

=====

ii.
DFT (GGA-PBE) results for Dy4CSe3 after structural relaxation.

```
Dy4CSe3
1.0
3.900 0.000 0.000
0.000 6.585 -2.209
0.000 -0.021 6.946
Se Dy C
3 4 1
Cartesian
1.950 3.282 2.368
0.000 -0.010 3.473
0.000 3.292 -1.105
0.000 5.180 3.738
1.950 1.452 4.905
0.000 1.384 0.998
1.950 5.112 -0.169
1.950 0.000 0.000
```

## Properties
* V: 178.2 Å³ per cell
* Fermi-level density of states: 2.5 states/eV/cell
* total moment: 0.000 μB per formula unit

=====

Which of them is the least stable? Correct choice: i.